The following is a PBE-GGA calculation of a relaxed Tm3Th5S8 crystal, from Alexandria via LeMat-Bulk.

```
16
Lattice="3.913 2.259 6.679 -3.913 2.259 6.679 0.000 -4.518 6.679" Properties=species:S:1:pos:R:3 pbc="T T T"
Tm -1.956 -1.130 6.679
Tm -1.956 1.130 13.359
Tm 0.000 2.259 6.679
Th 0.000 0.000 0.000
Th -3.913 0.000 10.019
Th -1.956 1.130 3.340
Th 1.956 1.130 3.340
Th 0.000 0.000 10.019
S 0.000 -2.192 8.244
S -1.899 1.096 8.244
S 0.000 0.000 5.155
S -1.899 -1.096 11.794
S 1.899 1.096 8.244
S 0.000 0.000 14.883
S 1.899 -1.096 11.794
S 0.000 2.192 11.794
```

Output
V (Å³ per cell): 354.2
Formation energy from raw total energies (eV/atom): -1.865